1.
The following is a DFT calculation (PBE-GGA) of crystalline K2RbIr at its relaxed geometry.

abc: 5.6758 5.6758 5.6758
angles: 60.00 60.00 60.00
Positions (direct):
K: 0.7500 0.7500 0.7500
K: 0.2500 0.2500 0.2500
Rb: 0.0000 0.0000 0.0000
Ir: 0.5000 0.5000 0.5000

Results
E_form   0.73 eV/atom
Crystal system   cubic
SG   Fm-3m
Total magnetic moment   0.00 μB per formula unit

***

2.
The following is a DFT calculation (PBE-GGA) of crystalline Th4AlIn at its relaxed geometry.

abc: 5.8958 7.7436 7.7436
angles: 90.00 90.00 90.00
Positions (direct):
Th: 0.5000 0.3518 0.8379
Th: 0.0000 0.6482 0.8379
Th: 0.5000 0.1621 0.3518
Th: 0.0000 0.3518 0.1621
Th: 0.5000 0.8379 0.6482
Th: 0.0000 0.1621 0.6482
Th: 0.0000 0.8379 0.3518
Th: 0.5000 0.6482 0.1621
Al: 0.7500 0.5000 0.5000
Al: 0.2500 0.5000 0.5000
In: 0.2500 0.0000 0.0000
In: 0.7500 0.0000 0.0000

Results
E_form   -0.20 eV/atom
Crystal system   tetragonal
SG   P4/mcc
Total magnetic moment   0.00 μB per formula unit

***

3.
The following is a DFT calculation (PBE-GGA) of crystalline RbNa2Au2 at its relaxed geometry.

abc: 8.8977 8.8977 3.4510
angles: 90.00 90.00 90.00
Positions (direct):
Au: 0.6700 0.8300 0.5000
Au: 0.1700 0.6700 0.5000
Au: 0.3300 0.1700 0.5000
Au: 0.8300 0.3300 0.5000
Na: 0.3763 0.8763 0.0000
Na: 0.1237 0.3763 0.0000
Na: 0.8763 0.6237 0.0000
Na: 0.6237 0.1237 0.0000
Rb: 0.0000 0.0000 0.0000
Rb: 0.5000 0.5000 0.0000

Results
E_form   -0.24 eV/atom
Crystal system   tetragonal
SG   P4/mbm
Total magnetic moment   0.00 μB per formula unit

***

4.
The following is a DFT calculation (PBE-GGA) of crystalline CrBPAuI at its relaxed geometry.

abc: 3.1982 3.9391 8.9131
angles: 80.89 83.10 67.25
Site moments in Bohr magnetons follow the coordinates.
Positions (direct):
Cr: 0.9414 0.0526 0.7141  2.29
Au: 0.6457 0.5763 0.9262  -0.01
P: 0.2587 0.5176 0.5688  -0.02
I: 0.6060 0.0073 0.1677  -0.01
B: 0.6545 0.6549 0.6798  -0.08

Results
E_form (uncorrected)   0.146 eV per atom
Crystal system   triclinic
SG   P1
Total magnetic moment   2.34 μB per formula unit

***

5.
The following is a DFT calculation (PBE-GGA) of crystalline NaSiBiSe4 at its relaxed geometry.

abc: 7.1796 7.1796 9.0389
angles: 90.00 90.00 114.57
Positions (direct):
Se: 0.2523 0.7477 0.4480
Se: 0.2481 0.2155 0.2500
Se: 0.7845 0.7519 0.2500
Se: 0.7477 0.2523 0.5520
Se: 0.7519 0.7845 0.7500
Se: 0.2523 0.7477 0.0520
Se: 0.7477 0.2523 0.9480
Se: 0.2155 0.2481 0.7500
Na: 0.5000 0.5000 0.0000
Na: 0.5000 0.5000 0.5000
Bi: 0.1548 0.8452 0.7500
Bi: 0.8452 0.1548 0.2500
Si: 0.8598 0.1402 0.7500
Si: 0.1402 0.8598 0.2500

Results
E_form (uncorrected)   -0.523 eV per atom
Crystal system   orthorhombic
SG   Cmcm
Total magnetic moment   0.00 μB per formula unit

***

6.
The following is a DFT calculation (PBE-GGA) of crystalline Cs2HfTc at its relaxed geometry.

abc: 10.2726 10.2726 10.2726
angles: 93.01 93.01 153.49
Positions (direct):
Cs: 0.1250 0.3517 0.7267
Cs: 0.6017 0.8750 0.2267
Cs: 0.6483 0.3750 0.7733
Cs: 0.6250 0.3983 0.2733
Tc: 0.7500 0.2500 0.5000
Tc: 0.5000 0.5000 0.0000
Hf: 0.2500 0.7500 0.5000
Hf: 0.0000 0.0000 0.0000

Results
E_form   1.24 eV/atom
Crystal system   tetragonal
SG   I-42d
Total magnetic moment   0.00 μB per formula unit

***

7.
The following is a DFT calculation (PBE-GGA) of crystalline SmThGaIr at its relaxed geometry.

abc: 4.1871 4.0044 6.1855
angles: 90.00 109.78 90.00
Positions (direct):
Ga: 0.5729 0.5000 0.1458
Th: 0.8707 0.5000 0.7413
Ir: 0.4091 0.0000 0.8181
Sm: 0.1474 0.0000 0.2947

Results
E_form   -0.78 eV/atom
Crystal system   orthorhombic
SG   Amm2
Total magnetic moment   0.00 μB per formula unit

***

8.
The following is a DFT calculation (PBE-GGA) of crystalline Tb6Y12In at its relaxed geometry.

abc: 8.4931 8.4931 8.4931
angles: 88.73 88.73 88.73
Positions (direct):
Y: 0.2191 0.4606 0.5654
Y: 0.0134 0.1818 0.3623
Y: 0.5394 0.4346 0.7809
Y: 0.4606 0.5654 0.2191
Y: 0.9866 0.8182 0.6377
Y: 0.5654 0.2191 0.4606
Y: 0.1818 0.3623 0.0134
Y: 0.3623 0.0134 0.1818
Y: 0.8182 0.6377 0.9866
Y: 0.7809 0.5394 0.4346
Y: 0.4346 0.7809 0.5394
Y: 0.6377 0.9866 0.8182
Tb: 0.2588 0.0950 0.7058
Tb: 0.0950 0.7058 0.2588
Tb: 0.2942 0.7412 0.9050
Tb: 0.7412 0.9050 0.2942
Tb: 0.9050 0.2942 0.7412
Tb: 0.7058 0.2588 0.0950
In: 0.0000 0.0000 0.0000

Results
E_form   0.06 eV/atom
Crystal system   trigonal
SG   R-3
Total magnetic moment   0.00 μB per formula unit

***

9.
The following is a DFT calculation (PBE-GGA) of crystalline AcNdPd6 at its relaxed geometry.

abc: 4.2643 4.2643 8.5064
angles: 90.00 90.00 90.00
Positions (direct):
Pd: 0.0000 0.5000 0.2437
Pd: 0.5000 0.0000 0.2437
Pd: 0.5000 0.0000 0.7563
Pd: 0.0000 0.5000 0.7563
Pd: 0.5000 0.5000 0.0000
Pd: 0.5000 0.5000 0.5000
Nd: 0.0000 0.0000 0.0000
Ac: 0.0000 0.0000 0.5000

Results
E_form   -0.74 eV/atom
Crystal system   tetragonal
SG   P4/mmm
Total magnetic moment   0.00 μB per formula unit

***

10.
The following is a DFT calculation (PBE-GGA) of crystalline BaBr3 at its relaxed geometry.

abc: 5.0439 5.0439 5.0439
angles: 90.00 90.00 90.00
Site moments in Bohr magnetons follow the coordinates.
Positions (direct):
Ba: 0.0000 0.0000 0.0000  0.00
Br: 0.5000 0.5000 0.0000  0.28
Br: 0.0000 0.5000 0.5000  0.28
Br: 0.5000 0.0000 0.5000  0.28

Results
E_form (uncorrected)   -1.379 eV per atom
Crystal system   cubic
SG   Pm-3m
Total magnetic moment   1.05 μB per formula unit